DFT (PBE) results for an optimized crystal structure of CoCu2Rh.

Calculated values
Space-group type: Fm-3m, No. 225
Calculated total energy, eV/atom: -5.477
Density, g/cm3: 9.6
ΔH_f (0 K), meV/atom: 185
Crystal system: cubic

Geometry as POSCAR:
```
CoCu2Rh
1.0
0.000 2.923 2.923
2.923 0.000 2.923
2.923 2.923 0.000
Co Cu Rh
1 2 1
direct
0.000 0.000 0.000
0.250 0.250 0.250
0.750 0.750 0.750
0.500 0.500 0.500
```